[1]
First-principles (PBE) data for a geometry-optimized LaHf2NbO structure, as listed in Alexandria via LeMat-Bulk.

```
LaHf2NbO
1.0
4.9232 0.0000 0.0000
0.0000 5.9588 0.0000
0.0000 0.0000 4.9232
Nb Hf O La
1 2 1 1
direct
0.0000 0.0000 0.0000 Nb
0.0000 0.0000 0.5000 Hf
0.5000 0.0000 0.0000 Hf
0.5000 0.5000 0.5000 O
0.0000 0.5000 0.0000 La
```

ΔE_f (raw)	987	meV/atom

***

[2]
First-principles (PBE) data for a geometry-optimized LaHf2NbOs structure, as listed in Alexandria via LeMat-Bulk.

```
LaHf2NbOs
1.0
5.0677 0.0000 0.0000
0.0000 5.0367 0.0000
0.0000 0.0000 5.0677
Hf Nb Os La
2 1 1 1
direct
0.0000 0.0000 0.5000 Hf
0.5000 0.0000 0.0000 Hf
0.0000 0.5000 0.0000 Nb
0.0000 0.0000 0.0000 Os
0.5000 0.5000 0.5000 La
```

formation energy	0.30	eV/atom

***

[3]
First-principles (PBE) data for a geometry-optimized La2HfNbPd structure, as listed in Alexandria via LeMat-Bulk.

```
La2HfNbPd
1.0
5.4322 0.0000 0.0000
0.0000 5.1978 0.0000
0.0000 0.0000 5.4322
Nb Hf Pd La
1 1 1 2
direct
0.5000 0.5000 0.5000 Nb
0.0000 0.5000 0.0000 Hf
0.0000 0.0000 0.0000 Pd
0.0000 0.0000 0.5000 La
0.5000 0.0000 0.0000 La
```

formation energy	0.67	eV/atom

***

[4]
First-principles (PBE) data for a geometry-optimized RbLaHf2Nb structure, as listed in Alexandria via LeMat-Bulk.

```
RbLaHf2Nb
1.0
-2.2021 2.5627 3.7994
-1.6944 -4.6118 2.1287
4.2912 -0.3268 2.7076
Nb Hf Rb La
1 2 1 1
direct
0.5000 0.5000 0.5000 Nb
0.0000 0.0000 0.5000 Hf
0.5000 0.0000 0.0000 Hf
0.0000 0.0000 0.0000 Rb
0.0000 0.5000 0.0000 La
```

formation energy	2.23	eV/atom